Here is MgRe3B after structural relaxation from Alexandria. Energies are from GGA-PBE.

Results
offset from the most stable computed form	3.088	eV per atom
total energy	-5.68	eV/atom
DOS at the Fermi energy	6.64	states/eV per cell
DFT formation energy	3440	meV/atom
volume	87	Å³/cell
total magnetization	0.98	μB/cell
space group	Pm-3m (221)

Cell and atoms, written as POSCAR:
```
MgRe3B
1.0
4.437 0.000 0.000
0.000 4.437 0.000
0.000 0.000 4.437
Mg Re B
1 3 1
Direct
0.000 0.000 0.000 Mg
0.000 0.000 0.500 Re
0.000 0.500 0.000 Re
0.500 0.000 0.000 Re
0.500 0.500 0.500 B
```